# 1
This record from the Alexandria database describes Li7Sm3Pt4 after structural relaxation. The functional is GGA-PBE.

Cell: 8.143 8.143 10.113 Å, 124.75 124.75 29.52°
Element x y z (fractional)
1 Li 0.000 0.000 0.000
2 Li 0.168 0.168 0.931
3 Li 0.330 0.330 0.499
4 Li 0.482 0.482 0.196
5 Li 0.518 0.518 0.804
6 Li 0.670 0.670 0.501
7 Li 0.832 0.832 0.069
8 Sm 0.000 0.000 0.500
9 Sm 0.294 0.294 0.759
10 Sm 0.706 0.706 0.241
11 Pt 0.108 0.108 0.320
12 Pt 0.343 0.343 0.253
13 Pt 0.657 0.657 0.747
14 Pt 0.892 0.892 0.680

## Properties
- DOS(E_F) (states/eV/atom) = 0.43
- formation enthalpy at 0 K (eV per formula unit) = -8.72
- V (A^3/atom) = 19.1
- SG = C2/m (12)
- magnetic moment (μB per atom) = 0.00
- E_tot (eV/atom) = -4.317

# 2
This record from the Alexandria database describes LiSm4Pt2 after structural relaxation. The functional is GGA-PBE.

Cell: 9.432 9.432 9.432 Å, 30.19 30.19 30.19°
Element x y z (fractional)
1 Li 0.000 0.000 0.000
2 Sm 0.206 0.206 0.206
3 Sm 0.383 0.383 0.383
4 Sm 0.617 0.617 0.617
5 Sm 0.794 0.794 0.794
6 Pt 0.094 0.094 0.094
7 Pt 0.906 0.906 0.906

## Properties
- DOS(E_F) (states/eV/atom) = 1.02
- formation enthalpy at 0 K (eV per formula unit) = -4.37
- V (A^3/atom) = 26.9
- SG = R-3m (166)
- magnetic moment (μB per atom) = 0.00
- E_tot (eV/atom) = -5.320